# 1
Material: Mg2NbBi3Pd3
Method: DFT, GGA-PBE
State: optimized geometry

Output
- Energy: -4.88 eV per atom
- Calculated density: 9055 kg/m3
- Size of the total moment: 0.00 μB per formula unit

abc: 7.8606 7.8763 7.8763
angles: 119.79 99.63 99.63
With the nearest neighbours (Å) after each atom.
Fractional coordinates of all 18 atoms:
Bi 0.7481 0.7486 0.2548  4 Pd 2.77-2.81
Bi 0.2481 0.2548 0.7486  4 Pd 2.77-2.81
Bi 0.2531 0.5772 0.4110  4 Pd 2.75-2.83
Bi 0.7531 0.4110 0.5772  4 Pd 2.75-2.83
Bi 0.7477 0.0888 0.9159  4 Pd 2.75-2.82
Bi 0.2477 0.9159 0.0888  4 Pd 2.75-2.82
Pd 0.6320 0.7102 0.5563  2 Nb 2.71-2.74, 4 Bi 2.75-2.81, 2 Mg 2.85-2.88
Pd 0.6223 0.0310 0.1978  1 Nb 2.70, 4 Bi 2.77-2.83, 3 Mg 2.79-2.83
Pd 0.1224 0.8730 0.3850  1 Nb 2.69, 4 Bi 2.77-2.82, 3 Mg 2.79-2.82
Pd 0.6224 0.3850 0.8730  1 Nb 2.69, 4 Bi 2.77-2.82, 3 Mg 2.79-2.82
Pd 0.1320 0.5563 0.7102  2 Nb 2.71-2.74, 4 Bi 2.75-2.81, 2 Mg 2.85-2.88
Pd 0.1223 0.1978 0.0310  1 Nb 2.70, 4 Bi 2.77-2.83, 3 Mg 2.79-2.83
Nb 0.5010 0.6682 0.8354  4 Pd 2.69-2.74
Nb 0.0010 0.8354 0.6682  4 Pd 2.69-2.74
Mg 0.4992 0.0006 0.5023  4 Pd 2.79-2.85
Mg 0.4992 0.3304 0.1633  4 Pd 2.79-2.88
Mg 0.9992 0.5022 0.0006  4 Pd 2.79-2.85
Mg 0.9992 0.1633 0.3304  4 Pd 2.79-2.88


# 2
Material: MgNbBiTe
Method: DFT, GGA-PBE
State: optimized geometry

Output
- Energy: -4.58 eV per atom
- Calculated density: 8026 kg/m3
- Size of the total moment: 1.94 μB per formula unit

abc: 5.1016 5.1016 5.1016
angles: 60.00 60.00 60.00
With the nearest neighbours (Å) after each atom.
Fractional coordinates of all 4 atoms:
Bi 0.5000 0.5000 0.5000  4 Mg 3.12, 4 Nb 3.12
Mg 0.7500 0.7500 0.7500  4 Bi 3.12, 4 Te 3.12
Te 0.0000 0.0000 0.0000  4 Mg 3.12, 4 Nb 3.12
Nb 0.2500 0.2500 0.2500  4 Bi 3.12, 4 Te 3.12


# 3
Material: MgNbBiTe
Method: DFT, GGA-PBE
State: optimized geometry

Output
- Energy: -4.22 eV per atom
- Calculated density: 7759 kg/m3
- Size of the total moment: 2.03 μB per formula unit

abc: 5.1594 5.1594 5.1594
angles: 60.00 60.00 60.00
With the nearest neighbours (Å) after each atom.
Fractional coordinates of all 4 atoms:
Nb 0.5000 0.5000 0.5000  4 Te 3.16, 4 Mg 3.16
Te 0.2500 0.2500 0.2500  4 Bi 3.16, 4 Nb 3.16
Bi 0.0000 0.0000 0.0000  4 Te 3.16, 4 Mg 3.16
Mg 0.7500 0.7500 0.7500  4 Nb 3.16, 4 Bi 3.16


# 4
Material: MgNiBi
Method: DFT, GGA-PBE
State: optimized geometry

Output
- Energy: -3.49 eV per atom
- Calculated density: 8081 kg/m3
- Size of the total moment: 0.00 μB per formula unit

abc: 7.7669 7.7669 3.4453
angles: 90.00 90.00 120.00
With the nearest neighbours (Å) after each atom.
Fractional coordinates of all 9 atoms:
Bi 0.0000 0.0000 0.5000  3 Ni 2.82, 6 Mg 2.85
Bi 0.3333 0.6667 0.0000  3 Mg 2.76, 6 Ni 3.02
Bi 0.6667 0.3333 0.0000  3 Mg 2.76, 6 Ni 3.02
Ni 0.3629 0.3629 0.5000  5 Bi 2.82-3.02, 4 Mg 3.11
Ni 0.0000 0.6371 0.5000  5 Bi 2.82-3.02, 4 Mg 3.11
Ni 0.6371 0.0000 0.5000  5 Bi 2.82-3.02, 4 Mg 3.11
Mg 0.0000 0.2919 0.0000  4 Bi 2.76-2.85
Mg 0.2919 0.0000 0.0000  4 Bi 2.76-2.85
Mg 0.7081 0.7081 0.0000  4 Bi 2.76-2.85


# 5
Material: MgNiBi
Method: DFT, GGA-PBE
State: optimized geometry

Output
- Energy: -3.76 eV per atom
- Calculated density: 7888 kg/m3
- Size of the total moment: 0.00 μB per formula unit

abc: 6.8395 6.8395 4.5517
angles: 90.00 90.00 120.00
With the nearest neighbours (Å) after each atom.
Fractional coordinates of all 9 atoms:
Ni 0.2217 0.0000 0.0000  2 Ni 2.63, 4 Bi 2.73-2.74, 2 Mg 2.76
Ni 0.0000 0.2217 0.0000  2 Ni 2.63, 4 Bi 2.73-2.74, 2 Mg 2.76
Ni 0.7783 0.7783 0.0000  2 Ni 2.63, 4 Bi 2.73-2.74, 2 Mg 2.76
Mg 0.5503 0.5503 0.5000  2 Ni 2.76, 5 Bi 3.03-3.08
Mg 0.0000 0.4497 0.5000  2 Ni 2.76, 5 Bi 3.03-3.08
Mg 0.4497 0.0000 0.5000  2 Ni 2.76, 5 Bi 3.03-3.08
Bi 0.0000 0.0000 0.5000  6 Ni 2.73
Bi 0.6667 0.3333 0.0000  3 Ni 2.74, 6 Mg 3.03
Bi 0.3333 0.6667 0.0000  3 Ni 2.74, 6 Mg 3.03


# 6
Material: MgNi2Bi4
Method: DFT, GGA-PBE
State: optimized geometry

Output
- Energy: -4.27 eV per atom
- Calculated density: 9383 kg/m3
- Size of the total moment: 0.00 μB per formula unit

abc: 6.9866 6.9866 12.7702
angles: 90.00 90.00 146.28
With the nearest neighbours (Å) after each atom.
Fractional coordinates of all 14 atoms:
Bi 0.0644 0.9356 0.1160  3 Ni 2.75-2.84
Bi 0.3424 0.6576 0.3829  3 Ni 2.74-2.82
Bi 0.6576 0.3424 0.8829  3 Ni 2.74-2.82
Bi 0.9356 0.0644 0.8840  3 Ni 2.75-2.84
Bi 0.6576 0.3424 0.6171  3 Ni 2.74-2.82
Bi 0.0644 0.9356 0.3840  3 Ni 2.75-2.84
Bi 0.3424 0.6576 0.1171  3 Ni 2.74-2.82
Bi 0.9356 0.0644 0.6160  3 Ni 2.75-2.84
Mg 0.2967 0.7033 0.7500  2 Ni 2.56-2.58
Mg 0.7033 0.2967 0.2500  2 Ni 2.56-2.58
Ni 0.4894 0.5106 0.7500  2 Ni 2.55, 1 Mg 2.58, 6 Bi 2.75-2.82
Ni 0.1049 0.8951 0.7500  2 Ni 2.55, 1 Mg 2.56, 6 Bi 2.74-2.84
Ni 0.5106 0.4894 0.2500  2 Ni 2.55, 1 Mg 2.58, 6 Bi 2.75-2.82
Ni 0.8951 0.1049 0.2500  2 Ni 2.55, 1 Mg 2.56, 6 Bi 2.74-2.84


# 7
Material: MgNiBi
Method: DFT, GGA-PBE
State: optimized geometry

Output
- Energy: -3.49 eV per atom
- Calculated density: 8171 kg/m3
- Size of the total moment: 0.00 μB per formula unit

abc: 4.8485 4.8485 5.8290
angles: 90.00 90.00 120.00
With the nearest neighbours (Å) after each atom.
Fractional coordinates of all 6 atoms:
Ni 0.0000 0.0000 0.5000  2 Ni 2.91, 6 Mg 3.16, 6 Bi 3.16
Ni 0.0000 0.0000 0.0000  2 Ni 2.91, 6 Mg 3.16, 6 Bi 3.16
Bi 0.3333 0.6667 0.2500  5 Mg 2.80-2.91
Bi 0.6667 0.3333 0.7500  5 Mg 2.80-2.91
Mg 0.6667 0.3333 0.2500  5 Bi 2.80-2.91
Mg 0.3333 0.6667 0.7500  5 Bi 2.80-2.91


# 8
Material: MgNi2Bi
Method: DFT, GGA-PBE
State: optimized geometry

Output
- Energy: -4.01 eV per atom
- Calculated density: 8837 kg/m3
- Size of the total moment: 0.01 μB per formula unit

abc: 4.5338 4.5338 4.5338
angles: 60.00 60.00 60.00
With the nearest neighbours (Å) after each atom.
Fractional coordinates of all 4 atoms:
Mg 0.2500 0.2500 0.2500  4 Bi 2.78, 4 Ni 2.78
Ni 0.7500 0.7500 0.7500  4 Ni 2.78, 4 Bi 2.78
Ni 0.0000 0.0000 0.0000  4 Ni 2.78, 4 Mg 2.78
Bi 0.5000 0.5000 0.5000  4 Mg 2.78, 4 Ni 2.78